# LiCaSi GGA-PBE relaxed
data_LiCaSi
_chemical_formula_sum 'Li2 Ca2 Si2'
_symmetry_space_group_name_H-M 'P 1'
_symmetry_Int_Tables_number 1
_symmetry_space_group_name_Hall 'P 1'
_cell_length_a 5.0634
_cell_length_b 5.0741
_cell_length_c 6.0872
_cell_angle_alpha 71.76
_cell_angle_beta 83.25
_cell_angle_gamma 60.83
loop_
_atom_site_label
_atom_site_type_symbol
_atom_site_fract_x
_atom_site_fract_y
_atom_site_fract_z
Li1 Li 0.5025 0.1169 0.6844
Li2 Li 0.4975 0.8831 0.3156
Ca1 Ca 0.8315 0.3996 0.8091
Ca2 Ca 0.1685 0.6004 0.1909
Si1 Si 0.8472 0.2023 0.3298
Si2 Si 0.1528 0.7977 0.6702
# Density of states at the Fermi level ... 0.12 states/eV/atom
# Energy relative to the elements, uncorrected ... -0.332 eV per atom

# CrCdCu GGA-PBE relaxed
data_CrCdCu
_chemical_formula_sum 'Cr1 Cd1 Cu1'
_symmetry_space_group_name_H-M 'P 1'
_symmetry_Int_Tables_number 1
_symmetry_space_group_name_Hall 'P 1'
_cell_length_a 4.3171
_cell_length_b 4.3171
_cell_length_c 4.3171
_cell_angle_alpha 60.00
_cell_angle_beta 60.00
_cell_angle_gamma 60.00
loop_
_atom_site_label
_atom_site_type_symbol
_atom_site_fract_x
_atom_site_fract_y
_atom_site_fract_z
Cd1 Cd 0.0000 0.0000 0.0000
Cr1 Cr 0.5000 0.5000 0.5000
Cu1 Cu 0.7500 0.7500 0.7500
# ΔE_f ... 0.5437 eV per atom
# Density of states at the Fermi level ... 0.57 states/eV/atom
# Energy above the lowest structure with this stoichiometry ... 0.210 eV per atom

# Mg2Pb2Au GGA-PBE relaxed
data_Mg2Pb2Au
_chemical_formula_sum 'Mg4 Pb4 Au2'
_symmetry_space_group_name_H-M 'P 1'
_symmetry_Int_Tables_number 1
_symmetry_space_group_name_Hall 'P 1'
_cell_length_a 7.6753
_cell_length_b 7.6753
_cell_length_c 4.4474
_cell_angle_alpha 90.00
_cell_angle_beta 90.00
_cell_angle_gamma 90.00
loop_
_atom_site_label
_atom_site_type_symbol
_atom_site_fract_x
_atom_site_fract_y
_atom_site_fract_z
Pb1 Pb 0.3492 0.8492 0.0000
Pb2 Pb 0.8492 0.6508 0.0000
Pb3 Pb 0.6508 0.1508 0.0000
Pb4 Pb 0.1508 0.3492 0.0000
Mg1 Mg 0.1555 0.6555 0.5000
Mg2 Mg 0.6555 0.8445 0.5000
Mg3 Mg 0.8445 0.3445 0.5000
Mg4 Mg 0.3445 0.1555 0.5000
Au1 Au 0.0000 0.0000 0.0000
Au2 Au 0.5000 0.5000 0.0000
# ΔE_f ... 0.0248 eV per atom
# Density of states at the Fermi level ... 0.37 states/eV/atom
# Energy above the lowest structure with this stoichiometry ... 0.133 eV per atom

# SrTaFe2 GGA-PBE relaxed
data_SrTaFe2
_chemical_formula_sum 'Sr1 Ta1 Fe2'
_symmetry_space_group_name_H-M 'P 1'
_symmetry_Int_Tables_number 1
_symmetry_space_group_name_Hall 'P 1'
_cell_length_a 3.1508
_cell_length_b 3.1508
_cell_length_c 7.7985
_cell_angle_alpha 90.00
_cell_angle_beta 90.00
_cell_angle_gamma 90.00
loop_
_atom_site_label
_atom_site_type_symbol
_atom_site_fract_x
_atom_site_fract_y
_atom_site_fract_z
Fe1 Fe 0.0000 0.0000 0.0154
Fe2 Fe 0.5000 0.5000 0.1683
Sr1 Sr 0.0000 0.0000 0.4747
Ta1 Ta 0.5000 0.5000 0.8416
# ΔE_f ... 0.5380 eV per atom
# Density of states at the Fermi level ... 1.26 states/eV/atom
# Energy above the lowest structure with this stoichiometry ... 0.211 eV per atom

# NdTmMgHg GGA-PBE relaxed
data_NdTmMgHg
_chemical_formula_sum 'Nd1 Tm1 Mg1 Hg1'
_symmetry_space_group_name_H-M 'P 1'
_symmetry_Int_Tables_number 1
_symmetry_space_group_name_Hall 'P 1'
_cell_length_a 3.7550
_cell_length_b 3.7550
_cell_length_c 7.6770
_cell_angle_alpha 90.00
_cell_angle_beta 90.00
_cell_angle_gamma 90.00
loop_
_atom_site_label
_atom_site_type_symbol
_atom_site_fract_x
_atom_site_fract_y
_atom_site_fract_z
Nd1 Nd 0.0000 0.0000 0.8574
Tm1 Tm 0.0000 0.0000 0.3490
Mg1 Mg 0.5000 0.5000 0.5898
Hg1 Hg 0.5000 0.5000 0.1318
# ΔE_f ... -0.2735 eV per atom
# Density of states at the Fermi level ... 1.12 states/eV/atom
# Energy above the lowest structure with this stoichiometry ... 0.000 eV per atom

# Ta2SiCl GGA-PBE relaxed
data_Ta2SiCl
_chemical_formula_sum 'Ta2 Si1 Cl1'
_symmetry_space_group_name_H-M 'P 1'
_symmetry_Int_Tables_number 1
_symmetry_space_group_name_Hall 'P 1'
_cell_length_a 5.7805
_cell_length_b 5.1279
_cell_length_c 2.8877
_cell_angle_alpha 76.49
_cell_angle_beta 85.12
_cell_angle_gamma 122.66
loop_
_atom_site_label
_atom_site_type_symbol
_atom_site_fract_x
_atom_site_fract_y
_atom_site_fract_z
Cl1 Cl 0.0000 0.5000 0.5000
Si1 Si 0.5000 0.5000 0.0000
Ta1 Ta 0.0000 0.0000 0.0000
Ta2 Ta 0.5000 0.0000 0.5000
# Density of states at the Fermi level ... 0.61 states/eV/atom
# Energy relative to the elements, uncorrected ... 0.333 eV per atom
# Energy above the lowest structure with this stoichiometry ... 0.424 eV per atom

# TbErBi GGA-PBE relaxed
data_TbErBi
_chemical_formula_sum 'Tb1 Er1 Bi1'
_symmetry_space_group_name_H-M 'P 1'
_symmetry_Int_Tables_number 1
_symmetry_space_group_name_Hall 'P 1'
_cell_length_a 3.8486
_cell_length_b 5.2455
_cell_length_c 5.2455
_cell_angle_alpha 120.00
_cell_angle_beta 90.00
_cell_angle_gamma 90.00
loop_
_atom_site_label
_atom_site_type_symbol
_atom_site_fract_x
_atom_site_fract_y
_atom_site_fract_z
Tb1 Tb 0.6077 0.6667 0.3333
Bi1 Bi 0.3176 0.3333 0.6667
Er1 Er 0.0748 0.0000 0.0000
# ΔE_f ... -0.2557 eV per atom
# Density of states at the Fermi level ... 1.23 states/eV/atom

> density of states at the Fermi level of number 4 (SrTaFe2)?

1.26 states/eV/atom

> What is the density of states at the Fermi level in the sixth record?

0.61 states/eV/atom

What did the fourth record say?
# SrTaFe2 GGA-PBE relaxed
data_SrTaFe2
_chemical_formula_sum 'Sr1 Ta1 Fe2'
_symmetry_space_group_name_H-M 'P 1'
_symmetry_Int_Tables_number 1
_symmetry_space_group_name_Hall 'P 1'
_cell_length_a 3.1508
_cell_length_b 3.1508
_cell_length_c 7.7985
_cell_angle_alpha 90.00
_cell_angle_beta 90.00
_cell_angle_gamma 90.00
loop_
_atom_site_label
_atom_site_type_symbol
_atom_site_fract_x
_atom_site_fract_y
_atom_site_fract_z
Fe1 Fe 0.0000 0.0000 0.0154
Fe2 Fe 0.5000 0.5000 0.1683
Sr1 Sr 0.0000 0.0000 0.4747
Ta1 Ta 0.5000 0.5000 0.8416
# ΔE_f ... 0.5380 eV per atom
# Density of states at the Fermi level ... 1.26 states/eV/atom
# Energy above the lowest structure with this stoichiometry ... 0.211 eV per atom